Entry 1:
A plane-wave DFT calculation with PBE-GGA was carried out for an optimized crystal structure of Cr2FeTcC.

Cell: 3.850 3.850 3.715 Å, 90.00 90.00 90.00°
Site moments in Bohr magnetons follow the coordinates.
Fractional positions:
Cr (0.500, 0.000, 0.000)  -0.17
Tc (0.500, 0.500, 0.500)  0.10
C (0.000, 0.000, 0.000)  0.00
Fe (0.000, 0.000, 0.500)  0.53
Cr (0.000, 0.500, 0.000)  -0.17

SG   P4/mmm (123)
Fermi-level density of states   3.7 states/eV/f.u.
Calculated total energy   -47.0 eV/cell

=====

Entry 2:
A plane-wave DFT calculation with PBE-GGA was carried out for an optimized crystal structure of Cr2FeWC.

Cell: 3.874 3.874 3.734 Å, 90.00 90.00 90.00°
Site moments in Bohr magnetons follow the coordinates.
Fractional positions:
Cr (0.000, 0.500, 0.000)  0.17
Cr (0.500, 0.000, 0.000)  0.17
Fe (0.000, 0.000, 0.500)  0.53
C (0.000, 0.000, 0.000)  -0.02
W (0.500, 0.500, 0.500)  -0.07

SG   P4/mmm (123)
Fermi-level density of states   6.1 states/eV/f.u.
Calculated total energy   -49.5 eV/cell

=====

Entry 3:
A plane-wave DFT calculation with PBE-GGA was carried out for an optimized crystal structure of YCr2FeC.

Cell: 4.105 3.936 4.105 Å, 90.00 90.00 90.00°
Site moments in Bohr magnetons follow the coordinates.
Fractional positions:
Y (0.500, 0.500, 0.500)  0.01
Cr (0.000, 0.000, 0.500)  1.93
Cr (0.500, 0.000, 0.000)  1.50
Fe (0.000, 0.500, 0.000)  1.13
C (0.000, 0.000, 0.000)  -0.11

SG   P4/mmm (123)
Fermi-level density of states   4.6 states/eV/f.u.
Calculated total energy   -42.5 eV/cell

=====

Entry 4:
A plane-wave DFT calculation with PBE-GGA was carried out for an optimized crystal structure of ZnCrFe2C.

Cell: 3.798 3.798 3.955 Å, 90.00 90.00 90.00°
Site moments in Bohr magnetons follow the coordinates.
Fractional positions:
Zn (0.500, 0.500, 0.500)  -0.05
Fe (0.500, 0.000, 0.000)  1.97
Cr (0.000, 0.000, 0.500)  2.06
C (0.000, 0.000, 0.000)  -0.12
Fe (0.000, 0.500, 0.000)  1.97

SG   P4/mmm (123)
Fermi-level density of states   4.2 states/eV/f.u.
Calculated total energy   -36.8 eV/cell

=====

no.,formation energy (eV/atom)
1,0.07
2,0.08
3,0.19
4,0.06